Record 1
Entry from Alexandria: a relaxed structure of LiTlP2 (GGA-PBE).

Unit cell a=3.967 b=3.985 c=4.692 alpha=90.00 beta=90.00 gamma=90.00
Fractional positions:
Li (0.000, 0.000, 0.000)
Tl (0.500, 0.500, 0.000)
P (0.000, 0.500, 0.500)
P (0.500, 0.000, 0.500)

Summary:
**SG**: Pmmm
**E_tot**: -3.5720 eV/atom
**Total magnetic moment**: 0.00 μB/f.u.
**ΔH_f (0 K)**: 0.203 eV/atom
**Crystal system**: orthorhombic
**E above lowest polymorph**: 36.86 kJ per mole of atoms

---

Record 2
Entry from Alexandria: a relaxed structure of LiTl2P (GGA-PBE).

Unit cell a=3.193 b=4.060 c=7.539 alpha=90.00 beta=93.64 gamma=90.00
Fractional positions:
Li (0.000, 0.000, 0.000)
Tl (0.006, 0.500, 0.689)
Tl (0.520, 0.000, 0.341)
P (0.515, 0.500, 0.030)

Summary:
**SG**: Pm
**E_tot**: -3.0818 eV/atom
**Total magnetic moment**: 0.00 μB/f.u.
**ΔH_f (0 K)**: -0.068 eV/atom
**Crystal system**: monoclinic
**E above lowest polymorph**: 10.38 kJ per mole of atoms

---

Record 3
Entry from Alexandria: a relaxed structure of LiTlP2 (GGA-PBE).

Unit cell a=9.510 b=9.510 c=9.510 alpha=18.62 beta=18.62 gamma=18.62
Fractional positions:
Li (0.000, 0.000, 0.000)
Tl (0.500, 0.500, 0.500)
P (0.263, 0.263, 0.263)
P (0.737, 0.737, 0.737)

Summary:
**SG**: R-3m
**E_tot**: -3.4235 eV/atom
**Total magnetic moment**: 0.00 μB/f.u.
**ΔH_f (0 K)**: 0.351 eV/atom
**Crystal system**: trigonal
**E above lowest polymorph**: 51.19 kJ per mole of atoms

---

Q: Among the records above, which one has the highest E above lowest polymorph?
A: number 3

---

Q: Which formula does entry 2 have?
A: LiTl2P